# 1
# SrAcBiI | the Alexandria database | PBE | relaxed
data_SrAcBiI
_chemical_formula_sum 'Sr2 Ac2 Bi2 I2'
_cell_length_a 18.783
_cell_length_b 18.783
_cell_length_c 18.783
_cell_angle_alpha 14.90
_cell_angle_beta 14.90
_cell_angle_gamma 14.90
_symmetry_space_group_name_H-M 'P 1'
_symmetry_Int_Tables_number 1
_symmetry_space_group_name_Hall 'P 1'
loop_
_atom_site_label
_atom_site_fract_x
_atom_site_fract_y
_atom_site_fract_z
Sr1 0.100 0.100 0.100
Sr2 0.900 0.900 0.900
Ac1 0.302 0.302 0.302
Ac2 0.698 0.698 0.698
Bi1 0.397 0.397 0.397
Bi2 0.603 0.603 0.603
I1 0.202 0.202 0.202
I2 0.798 0.798 0.798
# SG: R-3m, No. 166
# Electronic total energy, eV for the cell shown: -30.6

# 2
# DyYGaPt | the Alexandria database | PBE | relaxed
data_DyYGaPt
_chemical_formula_sum 'Dy1 Y1 Ga1 Pt1'
_cell_length_a 4.423
_cell_length_b 5.807
_cell_length_c 5.807
_cell_angle_alpha 38.02
_cell_angle_beta 90.00
_cell_angle_gamma 90.00
_symmetry_space_group_name_H-M 'P 1'
_symmetry_Int_Tables_number 1
_symmetry_space_group_name_Hall 'P 1'
loop_
_atom_site_label
_atom_site_fract_x
_atom_site_fract_y
_atom_site_fract_z
Dy1 0.000 0.000 0.000
Y1 0.500 0.284 0.284
Ga1 0.000 0.718 0.718
Pt1 0.500 0.563 0.563
# Energy relative to the elements, meV/atom: -948
# SG: Amm2, No. 38

no.,N(E_F) (states/eV per cell)
1,0.78
2,3.09